VASP calculation (PBEsol) on a relaxed BeCdOs2 crystal.

Calculated values
* formation energy from the elements: 742 meV per atom

Lattice parameters (Å, degrees): 3.731 3.731 4.093 90.00 90.00 90.00
Space group P4/mmm (No. 123)
Inequivalent atoms, fractional coordinates:
1 Be 0.000 0.000 0.000
2 Cd 0.500 0.500 0.000
3 Os 0.000 0.500 0.500